# 1
This record from Alexandria via LeMat-Bulk describes PmEuHo2 after structural relaxation. The functional is PBE.

Geometry as POSCAR:
```
PmEuHo2
1.0
-3.5908 3.6776 2.6028
-4.6641 -1.9812 2.7412
-0.2580 0.1896 5.7524
Eu Ho Pm
1 2 1
direct
0.0000 0.0000 0.0000 Eu
0.2500 0.2500 0.2500 Ho
0.7500 0.7500 0.7500 Ho
0.5000 0.5000 0.5000 Pm
```

Crystal system: cubic
Space group: No. 225
E_tot (eV per atom): -5.891
Polymorph energy (0 for the lowest one) (meV per atom): 90
DOS at the Fermi energy (states/eV/f.u.): 7.236


# 2
This record from Alexandria via LeMat-Bulk describes Nd3AlGe after structural relaxation. The functional is PBE.

Geometry as POSCAR:
```
Nd3AlGe
1.0
-3.6001 -2.1731 0.3441
3.8256 -1.1565 7.0072
-4.0430 7.1407 2.8714
Nd Al Ge
6 2 2
direct
0.0701 0.1736 0.3835 Nd
0.4289 0.8935 0.6257 Nd
0.6151 0.2605 0.7958 Nd
0.9738 0.9805 0.0380 Nd
0.2587 0.5507 0.0329 Nd
0.7853 0.6034 0.3887 Nd
0.2307 0.4932 0.6454 Al
0.8134 0.6609 0.7761 Al
0.4143 0.8615 0.2762 Ge
0.6296 0.2926 0.1454 Ge
```

Crystal system: triclinic
Space group: No. 2
E_tot (eV per atom): -4.975
DOS at the Fermi energy (states/eV/f.u.): 4.655


Result set for total moment: 1.796, 0.000 μB per atom, one per record in the order listed.